# Mg3Pt2Rh

An optimized crystal structure of Mg3Pt2Rh (GGA-PBE, Alexandria via LeMat-Bulk).

Computed properties:
* energy of formation from the pure elements: -4.37 eV per formula unit

Cell lengths 2.9908, 2.9908, 10.5197 Å; angles 90.00, 90.00, 90.00 degrees
Space group P4/mmm (No. 123)
Inequivalent atoms, fractional coordinates:
1 Mg 0.0000 0.0000 0.0000 (multiplicity 1)
2 Mg 0.0000 0.0000 0.3387 (multiplicity 2)
3 Pt 0.5000 0.5000 0.1693 (multiplicity 2)
4 Rh 0.5000 0.5000 0.5000 (multiplicity 1)

=====

# SrY2As

An optimized crystal structure of SrY2As (GGA-PBE, Alexandria via LeMat-Bulk).

Computed properties:
* energy of formation from the pure elements: -1.92 eV per formula unit

Cell lengths 4.4856, 5.8992, 9.8903 Å; angles 90.00, 90.00, 90.00 degrees
Space group Cmmm (No. 65)
Inequivalent atoms, fractional coordinates:
1 Sr 0.0000 0.0000 0.0000 (multiplicity 2)
2 Y 0.0000 0.5000 0.3212 (multiplicity 4)
3 As 0.0000 0.0000 0.5000 (multiplicity 2)

=====

# ZnInTcI2

An optimized crystal structure of ZnInTcI2 (GGA-PBE, Alexandria via LeMat-Bulk).

Computed properties:
* E_tot: -2.56 eV per atom

Cell lengths 6.1097, 6.1097, 5.5725 Å; angles 90.00, 90.00, 90.00 degrees
Space group P4/mmm (No. 123)
Inequivalent atoms, fractional coordinates:
1 Zn 0.0000 0.0000 0.0000 (multiplicity 1)
2 In 0.5000 0.5000 0.5000 (multiplicity 1)
3 Tc 0.5000 0.5000 0.0000 (multiplicity 1)
4 I 0.0000 0.5000 0.5000 (multiplicity 2)

=====

no.,total moment (μB/f.u.)
1,0.0
2,0.0
3,4.8